No. 1
The following is a GGA+U calculation of a geometry-optimized TiZnNiP2O9 structure, from the Alexandria database.

Cell and atoms, written as CIF:
```
data_TiZnNiP2O9
_chemical_formula_sum 'Ti4 Zn4 Ni4 P8 O36'
_symmetry_space_group_name_H-M 'P n m a'
_symmetry_Int_Tables_number 62
_symmetry_space_group_name_Hall '-P 2ac 2n'
_cell_length_a 14.3434
_cell_length_b 6.2148
_cell_length_c 7.6864
_cell_angle_alpha 90.00
_cell_angle_beta 90.00
_cell_angle_gamma 90.00
loop_
_atom_site_label
_atom_site_type_symbol
_atom_site_fract_x
_atom_site_fract_y
_atom_site_fract_z
_atom_site_occupancy
Ti1 Ti 0.1091 0.2500 0.1621 1
Zn1 Zn 0.2017 0.2500 0.6782 1
Ni1 Ni 0.0000 0.0000 0.5000 1
P1 P 0.0648 0.7500 0.1463 1
P2 P 0.2007 0.7500 0.5855 1
O1 O 0.0106 0.2500 0.9937 1
O2 O 0.0172 0.7500 0.3270 1
O3 O 0.0439 0.2500 0.3525 1
O4 O 0.1317 0.5573 0.1269 1
O5 O 0.1417 0.5368 0.5905 1
O6 O 0.2304 0.2500 0.9286 1
O7 O 0.2374 0.2500 0.2513 1
```

---

No. 2
The following is a GGA+U calculation of a geometry-optimized TiZnNiP3O12 structure, from the Alexandria database.

Cell and atoms, written as CIF:
```
data_TiZnNiP3O12
_chemical_formula_sum 'Ti6 Zn6 Ni6 P18 O72'
_symmetry_space_group_name_H-M 'R 3 c'
_symmetry_Int_Tables_number 161
_symmetry_space_group_name_Hall 'R 3 -2"c'
_cell_length_a 8.6215
_cell_length_b 8.6215
_cell_length_c 20.7330
_cell_angle_alpha 90.00
_cell_angle_beta 90.00
_cell_angle_gamma 120.00
loop_
_atom_site_label
_atom_site_type_symbol
_atom_site_fract_x
_atom_site_fract_y
_atom_site_fract_z
_atom_site_occupancy
Ti1 Ti 0.0000 0.0000 0.0000 1
Zn1 Zn 0.0000 0.0000 0.3528 1
Ni1 Ni 0.0000 0.0000 0.2129 1
P1 P 0.0005 0.2947 0.1067 1
O1 O 0.0015 0.2014 0.1683 1
O2 O 0.0155 0.1828 0.7793 1
O3 O 0.1466 0.4773 0.7127 1
O4 O 0.1717 0.4834 0.0978 1
```

---

Asked for E_tot across the records above, the calculation gives -6.942; -6.905 eV per atom in order.